1.
The following is a PBE calculation of a relaxed TbSiH crystal, from Alexandria.

- Calculated total energy: -4.922 eV per atom
- Fermi-level density of states: 0.130 states/eV per atom

Lattice parameters (Å, degrees): 5.859 5.890 11.760 90.00 90.00 90.00
Atoms (fractional coordinates):
Tb 0.265 0.531 0.369
H 0.611 0.384 0.301
H 0.111 0.384 0.199
Si 0.769 0.534 0.386
Si 0.769 0.966 0.614
H 0.889 0.884 0.199
Tb 0.235 0.031 0.131
H 0.389 0.616 0.699
H 0.889 0.616 0.801
Tb 0.735 0.031 0.369
Si 0.269 0.966 0.886
H 0.611 0.116 0.699
H 0.389 0.884 0.301
Tb 0.235 0.469 0.869
Tb 0.265 0.969 0.631
Si 0.231 0.034 0.386
Tb 0.765 0.969 0.869
Si 0.231 0.466 0.614
Si 0.269 0.534 0.114
H 0.111 0.116 0.801
Si 0.731 0.466 0.886
Tb 0.765 0.531 0.131
Tb 0.735 0.469 0.631
Si 0.731 0.034 0.114

2.
The following is a PBE calculation of a relaxed TbSiH crystal, from Alexandria.

- Calculated total energy: -4.796 eV per atom
- Fermi-level density of states: 0.246 states/eV per atom

Lattice parameters (Å, degrees): 4.612 3.587 3.587 120.00 90.00 90.00
Atoms (fractional coordinates):
Si 0.667 0.667 0.333
H 0.167 0.333 0.667
Tb 0.167 0.000 0.000

3.
The following is a PBE calculation of a relaxed Tb8Si5H crystal, from Alexandria.

- Calculated total energy: -5.397 eV per atom
- Fermi-level density of states: 0.628 states/eV per atom

Lattice parameters (Å, degrees): 7.561 7.561 7.561 110.84 106.77 110.84
Atoms (fractional coordinates):
Tb 0.499 0.610 0.266
Si 0.500 0.000 0.500
Si 0.759 0.625 0.636
Si 0.010 0.375 0.134
Tb 0.600 0.861 0.859
Tb 0.734 0.233 0.345
Tb 0.112 0.767 0.501
Si 0.364 0.124 0.990
Tb 0.141 0.741 0.002
H 0.250 0.500 0.750
Tb 0.655 0.390 0.888
Si 0.866 0.876 0.241
Tb 0.261 0.259 0.400
Tb 0.998 0.139 0.739

4.
The following is a PBE calculation of a relaxed Tb3Si2H crystal, from Alexandria.

- Calculated total energy: -5.179 eV per atom
- Fermi-level density of states: 0.346 states/eV per atom

Lattice parameters (Å, degrees): 5.730 7.969 6.973 106.60 114.26 90.00
Atoms (fractional coordinates):
Tb 0.163 0.083 0.330
Si 0.333 0.418 0.670
H 0.040 0.250 0.000
Tb 0.474 0.250 0.000
Tb 0.167 0.583 0.330
Si 0.667 0.582 0.330
Si 0.338 0.918 0.670
Tb 0.526 0.750 0.000
Tb 0.833 0.417 0.670
Tb 0.837 0.917 0.670
H 0.960 0.750 0.000
Si 0.662 0.082 0.330

5.
The following is a PBE calculation of a relaxed Tb8Si3Te4H crystal, from Alexandria.

- Calculated total energy: -5.335 eV per atom
- Fermi-level density of states: 0.385 states/eV per atom

Lattice parameters (Å, degrees): 8.377 8.551 8.378 119.33 120.00 90.00
Atoms (fractional coordinates):
Tb 0.740 0.720 0.480
H 0.000 0.500 0.000
Tb 0.244 0.721 0.977
Te 0.500 0.000 0.500
Te 0.500 0.000 0.000
Tb 0.756 0.279 0.512
Si 0.500 0.500 0.000
Si 0.500 0.500 0.500
Si 0.000 0.500 0.500
Tb 0.733 0.721 0.977
Te 0.000 0.000 0.000
Tb 0.244 0.721 0.488
Te 0.000 0.000 0.500
Tb 0.260 0.280 0.520
Tb 0.756 0.279 0.023
Tb 0.267 0.279 0.023

6.
The following is a PBE calculation of a relaxed SiTcH crystal, from Alexandria.

- Calculated total energy: -6.506 eV per atom
- Fermi-level density of states: 0.521 states/eV per atom

Lattice parameters (Å, degrees): 5.418 4.594 5.659 66.36 90.00 90.00
Atoms (fractional coordinates):
H 0.941 0.745 0.477
Si 0.567 0.282 0.370
Si 0.933 0.782 0.870
Tc 0.683 0.871 0.215
H 0.441 0.755 0.023
Si 0.067 0.218 0.130
Tc 0.317 0.129 0.785
Tc 0.817 0.371 0.715
Si 0.433 0.718 0.630
Tc 0.183 0.629 0.285
H 0.559 0.245 0.977
H 0.059 0.255 0.523

7.
The following is a PBE calculation of a relaxed SiTcH crystal, from Alexandria.

- Calculated total energy: -6.529 eV per atom
- Fermi-level density of states: 0.373 states/eV per atom

Lattice parameters (Å, degrees): 3.397 3.397 3.118 90.00 90.00 120.00
Atoms (fractional coordinates):
H 0.333 0.667 0.000
Si 0.667 0.333 0.500
Tc 0.000 0.000 0.000

8.
The following is a PBE calculation of a relaxed Si3TcH crystal, from Alexandria.

- Calculated total energy: -5.524 eV per atom
- Fermi-level density of states: 0.683 states/eV per atom

Lattice parameters (Å, degrees): 3.849 3.849 3.849 90.00 90.00 90.00
Atoms (fractional coordinates):
Si 0.500 0.000 0.000
Si 0.000 0.000 0.500
Tc 0.500 0.500 0.500
Si 0.000 0.500 0.000
H 0.000 0.000 0.000

9.
The following is a PBE calculation of a relaxed Si2Tc4H crystal, from Alexandria.

- Calculated total energy: -8.046 eV per atom
- Fermi-level density of states: 1.139 states/eV per atom

Lattice parameters (Å, degrees): 3.773 3.773 6.811 73.92 73.92 90.00
Atoms (fractional coordinates):
Tc 0.171 0.171 0.658
Si 0.640 0.640 0.720
Tc 0.500 0.000 0.000
Tc 0.000 0.500 0.000
H 0.000 0.000 0.000
Tc 0.829 0.829 0.342
Si 0.360 0.360 0.280

10.
The following is a PBE calculation of a relaxed SiTc3H crystal, from Alexandria.

- Calculated total energy: -7.889 eV per atom
- Fermi-level density of states: 1.241 states/eV per atom

Lattice parameters (Å, degrees): 3.891 3.891 3.891 90.00 90.00 90.00
Atoms (fractional coordinates):
Tc 0.000 0.500 0.000
Si 0.500 0.500 0.500
H 0.000 0.000 0.000
Tc 0.000 0.000 0.500
Tc 0.500 0.000 0.000

11.
The following is a PBE calculation of a relaxed Si3TcH crystal, from Alexandria.

- Calculated total energy: -5.418 eV per atom
- Fermi-level density of states: 0.000 states/eV per atom

Lattice parameters (Å, degrees): 4.610 4.610 4.610 90.00 90.00 90.00
Atoms (fractional coordinates):
H 0.500 0.500 0.500
Si 0.000 0.500 0.000
Si 0.500 0.000 0.000
Si 0.000 0.000 0.500
Tc 0.000 0.000 0.000

12.
The following is a PBE calculation of a relaxed Si2TcH crystal, from Alexandria.

- Calculated total energy: -5.649 eV per atom
- Fermi-level density of states: 0.000 states/eV per atom

Lattice parameters (Å, degrees): 4.413 4.413 5.929 68.15 68.15 90.00
Atoms (fractional coordinates):
H 0.500 0.500 0.000
Si 0.478 0.125 0.250
Si 0.375 0.522 0.750
H 0.250 0.750 0.500
Tc 0.750 0.250 0.500
Si 0.272 0.625 0.250
Tc 0.000 0.000 0.000
Si 0.875 0.728 0.750